# RbVAs2 GGA-PBE relaxed
data_RbVAs2
_space_group_name_H-M_alt 'R -3 m'
_space_group_IT_number 166
_space_group_name_Hall '-R 3 2"'
_cell_length_a 3.5286
_cell_length_b 3.5286
_cell_length_c 25.4554
_cell_angle_alpha 90.00
_cell_angle_beta 90.00
_cell_angle_gamma 120.00
loop_
_atom_site_label
_atom_site_fract_x
_atom_site_fract_y
_atom_site_fract_z
_atom_site_occupancy
Rb1 0.0000 0.0000 0.0000 1
V1 0.0000 0.0000 0.5000 1
As1 0.0000 0.0000 0.2268 1
# calculated formation energy = -0.217 eV per atom
# crystal system = trigonal
# Fermi-level density of states = 2.82 states/eV/f.u.
# size of the total moment = 0.0 μB per cell
# energy above the lowest structure with this stoichiometry = 0.70 kcal/mol of atoms
# calculated density = 5.2 Mg/m³